No. 1
Cd2TeAu: relaxed, PBE-GGA.

```
Cd2TeAu
1.0
-3.953 1.223 1.299
-3.562 -1.675 -1.821
-2.388 -4.791 4.151
Te Au Cd
1 1 2
Cartesian
-2.476 -1.311 0.908
-7.427 -3.932 2.723
-4.955 -2.748 1.932
-2.385 -4.664 4.034
```

---

No. 2
HgIr2F11: relaxed, PBE-GGA.

```
HgIr2F11
1.0
-2.939 -3.234 7.883
-3.970 -7.185 0.725
4.144 -5.602 4.400
F Ir Hg
22 4 2
Cartesian
0.246 -8.327 4.236
1.992 -6.546 5.240
1.338 -8.685 6.720
-2.827 -13.983 11.076
-2.368 -5.668 2.466
-4.103 -7.337 6.287
-0.577 -5.803 4.965
-0.397 -10.353 10.541
-0.388 -8.341 8.770
0.000 0.000 0.000
1.721 -4.601 3.385
-2.179 -3.720 5.223
0.063 -2.039 1.931
-2.377 -7.681 4.238
-1.382 -8.011 6.504
-2.188 -10.219 8.042
-3.282 -9.855 5.560
-0.586 -12.302 7.785
0.518 -6.166 7.447
-4.757 -9.475 7.767
-4.486 -11.421 9.622
-3.010 -7.695 8.771
0.372 -7.249 5.845
0.378 -8.578 10.454
-3.137 -8.773 7.163
-3.143 -7.444 2.553
-2.073 -12.016 9.756
-0.691 -4.005 3.252
```

---

No. 3
Ba2MgAlPd2 PBE-GGA relaxed; ΔE_f = -540 meV/atom
1.0
6.183 0.000 0.000
0.000 6.284 0.000
-3.091 -3.142 8.978
Mg Pd Al Ba
2 4 2 4
Cartesian
0.000 1.571 0.000
0.000 4.713 0.000
4.499 0.000 1.467
1.407 0.000 7.511
1.684 3.142 1.467
-1.407 3.142 7.511
3.091 4.713 0.000
3.091 1.571 0.000
1.546 3.142 6.090
-1.546 0.000 6.090
4.638 3.142 2.888
1.545 0.000 2.888

---

No. 4
Li2PrZn PBE-GGA relaxed; ΔE_f = 11 meV/atom; energy above the most stable polymorph in this dataset = 8.4 kJ/mol of formula units
1.0
-0.241 0.319 -3.425
3.080 -1.509 -0.357
-3.226 -6.495 -0.379
Li Pr Zn
2 1 1
Cartesian
-2.639 -5.313 -0.310
-0.587 -1.183 -0.069
-0.194 -3.842 -2.080
1.419 -0.595 -1.891

---

No. 5
MgTa2Ni PBE-GGA relaxed; ΔE_f = 479 meV/atom
1.0
7.347 0.000 0.000
0.000 7.347 0.000
3.674 3.674 2.644
Ta Mg Ni
4 2 2
Cartesian
5.510 5.145 1.983
1.471 5.510 0.661
9.184 9.549 1.983
5.876 1.837 0.661
3.674 7.347 1.322
3.674 3.674 0.000
7.347 3.674 1.322
0.000 0.000 0.000

---

No. 6
K4ThU3Te8: relaxed, PBE-GGA.

```
K4ThU3Te8
1.0
-0.449 0.783 -8.934
-4.727 -8.632 -0.519
-3.606 6.331 5.249
Te U Th K
8 3 1 4
Cartesian
-5.412 -2.565 -4.465
-7.237 0.582 -1.834
-3.370 1.047 0.261
-1.546 -2.100 -2.370
-1.770 -1.710 -6.822
-3.567 1.445 -4.207
-5.216 -2.963 0.003
-7.013 0.192 2.618
-4.391 -0.759 -2.102
-2.588 -3.925 -4.726
-4.167 -1.150 2.365
-2.364 -4.316 -0.259
-1.803 3.166 2.624
-0.225 0.391 -4.467
-2.028 3.557 -1.843
0.000 0.000 0.000
```

---

No. 7
Tl2FeSi PBE-GGA relaxed; energy above the most stable polymorph in this dataset = 0.0 kJ/mol of formula units
1.0
-1.669 -1.686 2.076
2.647 -1.392 0.997
1.076 6.368 6.037
Fe Si Tl
1 1 2
Cartesian
0.625 3.702 3.509
1.200 2.672 5.529
1.013 5.999 5.686
0.828 0.469 3.441

---

No. 8
RbAlB2O: relaxed, PBE-GGA.

```
RbAlB2O
1.0
-4.030 1.156 2.991
2.066 -1.848 3.499
2.145 4.543 1.133
B Al Rb O
2 1 1 1
Cartesian
1.072 2.272 0.567
-2.015 0.578 1.495
0.090 1.926 3.811
0.000 0.000 0.000
1.033 -0.924 1.749
```

---

The records above yield E values of -2.21; -4.16; -3.80; -2.46; -7.29; -5.36; -4.42; -2.12 eV/atom, respectively.